# 1
This record from OQMD via LeMat-Bulk describes a relaxed Sr2CdBiSb crystal. The functional is PBE.

The structure in extended XYZ format:
```
10
Lattice="-7.983 1.459 -4.608 4.550 -3.314 7.443 -0.813 7.097 3.656" Properties=species:S:1:pos:R:3 pbc="T T T"
Bi -3.038 3.291 2.576
Bi -0.878 -0.925 2.433
Sr 1.481 1.972 7.185
Sr -5.494 1.234 -1.742
Sr 3.998 -1.320 8.079
Sr -8.265 6.743 -1.494
Cd -0.875 1.658 4.126
Cd -3.660 6.112 3.667
Sb 2.353 -2.334 5.425
Sb -6.227 4.327 -0.607
```

crystal system = orthorhombic
space-group type = Cmc2_1
E = -32.77 eV for the cell shown


# 2
This record from OQMD via LeMat-Bulk describes a relaxed Sr3Cd2Bi2Sb2 crystal. The functional is PBE.

The structure in extended XYZ format:
```
9
Lattice="-6.423 -6.322 -1.316 -3.719 -6.397 -5.311 5.813 -2.679 3.985" Properties=species:S:1:pos:R:3 pbc="T T T"
Sb -3.307 -7.242 -2.103
Sb -1.023 -8.156 -0.539
Cd -3.248 -4.273 -2.119
Cd -1.081 -11.124 -0.523
Bi -0.775 -3.320 -0.463
Bi -3.554 -12.078 -2.180
Sr 0.000 0.000 0.000
Sr 2.155 -3.298 1.521
Sr -6.484 -12.100 -4.163
```

crystal system = monoclinic
space-group type = C2/m
E = -29.22 eV for the cell shown


# 3
This record from OQMD via LeMat-Bulk describes a relaxed Sr2CdBiSb crystal. The functional is PBE.

The structure in extended XYZ format:
```
10
Lattice="6.493 6.678 -1.668 -6.734 -3.732 5.501 5.446 -4.370 3.702" Properties=species:S:1:pos:R:3 pbc="T T T"
Cd 0.979 -1.351 4.157
Cd 6.145 -1.613 4.683
Sr 4.380 4.199 0.104
Sr 10.328 3.069 1.348
Sr -0.872 -4.262 6.278
Sr -4.952 -4.630 6.304
Sb 3.756 -0.238 3.476
Sb -0.728 0.561 2.580
Bi 7.059 2.544 1.545
Bi -4.260 -2.037 4.355
```

crystal system = orthorhombic
space-group type = Cmc2_1
E = -32.78 eV for the cell shown


# 4
This record from OQMD via LeMat-Bulk describes a relaxed Sc2CdBi crystal. The functional is PBE.

The structure in extended XYZ format:
```
4
Lattice="4.504 1.469 2.237 0.315 0.441 5.211 2.806 -3.460 2.757" Properties=species:S:1:pos:R:3 pbc="T T T"
Bi 3.812 -0.775 5.102
Sc 0.000 0.000 0.000
Sc 5.718 -1.162 7.654
Cd 1.906 -0.387 2.551
```

crystal system = cubic
space-group type = F-43m
E = -17.36 eV for the cell shown


# 5
This record from OQMD via LeMat-Bulk describes a relaxed CdSiBi crystal. The functional is PBE.

The structure in extended XYZ format:
```
3
Lattice="0.000 3.430 3.430 3.430 0.000 3.430 3.430 3.430 0.000" Properties=species:S:1:pos:R:3 pbc="T T T"
Bi 1.715 1.715 1.715
Si 0.000 0.000 0.000
Cd 5.146 5.146 5.146
```

crystal system = cubic
energy above the lowest structure with this stoichiometry = 0 meV per atom
space-group type = F-43m


# 6
This record from OQMD via LeMat-Bulk describes a relaxed Cd6Si2Bi crystal. The functional is PBE.

The structure in extended XYZ format:
```
9
Lattice="-8.106 -1.347 -0.108 5.174 -5.870 -2.510 0.165 -1.255 3.275" Properties=species:S:1:pos:R:3 pbc="T T T"
Si 0.830 -4.990 -0.072
Si -3.597 -3.482 0.729
Cd -2.504 -1.057 1.603
Cd -1.914 -5.542 -0.145
Cd -4.998 -0.830 -0.067
Cd 3.190 -3.619 -1.547
Cd 1.733 -2.501 0.837
Cd -1.124 -2.767 -1.004
Bi 0.000 0.000 0.000
```

crystal system = hexagonal
space-group type = P-62m
E = -17.72 eV for the cell shown